# 1
## Ac12Mn3N5 (PBE-GGA)

Data for Ac12Mn3N5 after structural relaxation.

The raw formation energy comes out at -203 meV per atom. As for the total moment: 0.01 μB per formula unit. As for the total energy: -6.125 eV per atom.

The space group is Ia-3d (No. 230) and the conventional cell measures 16.622, 16.622 and 16.622 Å, with angles of 90.00, 90.00 and 90.00 degrees. The asymmetric unit holds Ac at (0.029, 0.053, 0.652), Mn at (0.000, 0.250, 0.125), N at (0.000, 0.000, 0.000) and N at (0.000, 0.250, 0.375).

# 2
## Ac3MnN5 (PBE-GGA)

Data for Ac3MnN5 after structural relaxation.

The raw formation energy comes out at -968 meV per atom. As for the total moment: 0.87 μB per formula unit. As for the total energy: -7.981 eV per atom.

The space group is I4/mcm (No. 140) and the conventional cell measures 7.156, 7.156 and 11.419 Å, with angles of 90.00, 90.00 and 90.00 degrees. The asymmetric unit holds Ac at (0.000, 0.000, 0.250), Ac at (0.177, 0.323, 0.000), Mn at (0.000, 0.500, 0.250), N at (0.000, 0.000, 0.000) and N at (0.138, 0.362, 0.342).

# 3
## Ac3Mn2N6 (PBE-GGA)

Data for Ac3Mn2N6 after structural relaxation.

The raw formation energy comes out at -804 meV per atom. As for the total moment: 4.69 μB per formula unit. As for the total energy: -8.133 eV per atom.

The space group is I4/mmm (No. 139) and the conventional cell measures 3.941, 3.941 and 20.849 Å, with angles of 90.00, 90.00 and 90.00 degrees. The asymmetric unit holds Ac at (0.000, 0.000, 0.000), Ac at (0.000, 0.000, 0.179), Mn at (0.000, 0.000, 0.396), N at (0.000, 0.000, 0.308) and N at (0.000, 0.500, 0.087).

# 4
## Ac2MnN4 (PBE-GGA)

Data for Ac2MnN4 after structural relaxation.

The raw formation energy comes out at -876 meV per atom. As for the total moment: 1.00 μB per formula unit. As for the total energy: -8.118 eV per atom.

The space group is P2_1/m (No. 11) and the conventional cell measures 5.845, 5.542 and 7.644 Å, with angles of 90.00, 106.43 and 90.00 degrees. The asymmetric unit holds Ac at (0.221, 0.250, 0.029), Ac at (0.271, 0.250, 0.548), Mn at (0.221, 0.750, 0.783), N at (0.033, 0.505, 0.727), N at (0.352, 0.750, 0.017) and N at (0.432, 0.750, 0.660).